Here is crystalline Na2GeH2 at its relaxed geometry from Alexandria via LeMat-Bulk. Energies are from GGA-PBE.

Unit cell a=7.0122 b=7.0122 c=2.9245 alpha=90.00 beta=90.00 gamma=90.00
Fractional coordinates of all 10 atoms:
1 Na 0.1501 0.3499 0.0000
2 Na 0.3499 0.8499 0.0000
3 Na 0.6501 0.1501 0.0000
4 Na 0.8499 0.6501 0.0000
5 Ge 0.0000 0.0000 0.5000
6 Ge 0.5000 0.5000 0.5000
7 H 0.1521 0.6521 0.5000
8 H 0.3479 0.1521 0.5000
9 H 0.6521 0.8479 0.5000
10 H 0.8479 0.3479 0.5000

Output
Energy relative to the lowest polymorph listed for this composition   0.00 kcal/mol of atoms
Space-group type   P4/mbm (127)
Total energy   -2.596 eV per atom
Volume   143.8 Å³ per cell
Magnetic moment   0.00 μB/f.u.

=====

Here is crystalline ScIr3 at its relaxed geometry from Alexandria via LeMat-Bulk. Energies are from GGA-PBE.

Unit cell a=2.8449 b=4.5204 c=4.7999 alpha=90.00 beta=90.00 gamma=90.00
Fractional coordinates of all 4 atoms:
1 Sc 0.0000 0.0000 0.0000
2 Ir 0.0000 0.5000 0.6281
3 Ir 0.5000 0.0000 0.5018
4 Ir 0.5000 0.5000 0.1426

Output
Space-group type   Pmm2 (25)
Total energy   -8.686 eV per atom
Volume   61.7 Å³ per cell
Magnetic moment   0.00 μB/f.u.

=====

Here is crystalline LiCr2Ru at its relaxed geometry from Alexandria via LeMat-Bulk. Energies are from GGA-PBE.

Unit cell a=2.5061 b=4.0264 c=4.9123 alpha=90.00 beta=98.10 gamma=90.00
Fractional coordinates of all 4 atoms:
1 Li 0.0000 0.0000 0.0000
2 Cr 0.2509 0.5000 0.7510
3 Cr 0.4789 0.0000 0.5070
4 Ru 0.6977 0.5000 0.2418

Output
Space-group type   Pm (6)
Total energy   -7.315 eV per atom
Volume   49.1 Å³ per cell
Magnetic moment   0.04 μB/f.u.

=====

Copy entry 2 word for word.
Here is crystalline ScIr3 at its relaxed geometry from Alexandria via LeMat-Bulk. Energies are from GGA-PBE.

Unit cell a=2.8449 b=4.5204 c=4.7999 alpha=90.00 beta=90.00 gamma=90.00
Fractional coordinates of all 4 atoms:
1 Sc 0.0000 0.0000 0.0000
2 Ir 0.0000 0.5000 0.6281
3 Ir 0.5000 0.0000 0.5018
4 Ir 0.5000 0.5000 0.1426

Output
Space-group type   Pmm2 (25)
Total energy   -8.686 eV per atom
Volume   61.7 Å³ per cell
Magnetic moment   0.00 μB/f.u.

=====

Which formula does entry 1 have?
Na2GeH2

=====

The highest total energy belongs to which entry?
Na2GeH2